Entry 1:
{"formula": "Tb3Si2Pd2Au4", "functional": "GGA-PBE", "state": "relaxed", "lattice_angstrom": [[3.990, 0.000, 0.000], [0.000, 3.990, 0.000], [-1.995, -1.995, 14.390]], "species": ["Si", "Si", "Tb", "Tb", "Tb", "Au", "Au", "Au", "Au", "Pd", "Pd"], "fractional_positions": [[0.638, 0.638, 0.276], [0.362, 0.362, 0.724], [0.822, 0.822, 0.645], [0.000, 0.000, 0.000], [0.178, 0.178, 0.355], [0.581, 0.081, 0.162], [0.081, 0.581, 0.162], [0.919, 0.419, 0.838], [0.419, 0.919, 0.838], [0.278, 0.278, 0.556], [0.722, 0.722, 0.444]], "total_energy_ev_per_atom": -4.9430}

***

Entry 2:
{"formula": "Th2Si3Pd4Au", "functional": "GGA-PBE", "state": "relaxed", "lattice_angstrom": [[4.187, 0.000, 0.000], [0.000, 4.187, 0.000], [0.000, 0.000, 10.718]], "species": ["Th", "Th", "Si", "Si", "Si", "Pd", "Pd", "Pd", "Pd", "Au"], "fractional_positions": [[0.500, 0.000, 0.248], [0.000, 0.500, 0.752], [0.000, 0.000, 0.500], [0.000, 0.500, 0.122], [0.500, 0.000, 0.878], [0.000, 0.000, 0.000], [0.500, 0.000, 0.656], [0.500, 0.500, 0.000], [0.000, 0.500, 0.344], [0.500, 0.500, 0.500]], "total_energy_ev_per_atom": -6.3047}